# 1
Computed, not measured: a geometry-optimized CdSi2Rh structure at the GGA-PBE level of DFT.

Summary:
symmetry	Cm (8)
raw formation energy	-0.12	eV per atom

Cell lengths 7.706, 4.280, 4.278 Å; angles 90.00, 107.07, 90.00 degrees
Positions (direct):
Si 0.635 0.500 0.408
Si 0.635 0.000 0.908
Si 0.825 0.000 0.509
Si 0.825 0.500 0.009
Cd 0.272 0.000 0.743
Cd 0.272 0.500 0.243
Rh 0.995 0.500 0.599
Rh 0.995 0.000 0.099

=====

# 2
Computed, not measured: a geometry-optimized Mn3ICl structure at the GGA-PBE level of DFT.

Summary:
symmetry	Pm-3m (221)
raw formation energy	1.18	eV per atom
energy relative to the lowest polymorph listed for this composition	398.2	meV per atom

Cell lengths 5.015, 5.015, 5.015 Å; angles 90.00, 90.00, 90.00 degrees
Site moments in Bohr magnetons follow the coordinates.
Positions (direct):
Mn 0.000 0.500 0.000  3.59
Mn 0.500 0.000 0.000  3.77
Mn 0.000 0.000 0.500  3.29
I 0.000 0.000 0.000  -0.10
Cl 0.500 0.500 0.500  0.12

=====

# 3
Computed, not measured: a geometry-optimized ZnSnPbAu3 structure at the GGA-PBE level of DFT.

Summary:
symmetry	C2/c (15)
formation energy from the elements	-0.08	eV/atom

Cell lengths 6.041, 6.745, 7.846 Å; angles 64.54, 81.64, 70.22 degrees
Positions (direct):
Sn 0.250 0.596 0.808
Sn 0.750 0.404 0.192
Au 0.750 0.205 0.590
Au 0.250 0.795 0.410
Au 0.087 0.636 0.161
Au 0.587 0.797 0.839
Au 0.413 0.203 0.161
Au 0.913 0.364 0.839
Zn 0.750 0.013 0.973
Zn 0.250 0.987 0.027
Pb 0.250 0.228 0.543
Pb 0.750 0.772 0.457

=====

| no. | calculated density (g cm⁻³) |
| --- | --- |
| 1 | 6.7 |
| 2 | 4.3 |
| 3 | 12.0 |